(1)
The following is a PBE calculation of crystalline Pr3PN2 at its relaxed geometry, from OQMD.

Results
uncorrected energy	-7.331	eV/atom
M_tot	0.0	μB per formula unit

Structure (extended XYZ):
```
6
Lattice="3.815 0.000 0.000 -1.908 3.304 0.000 0.000 0.000 9.570" Properties=species:S:1:pos:R:3 pbc="T T T"
Pr 0.000 0.000 0.000
Pr 0.000 2.203 2.924
Pr 1.908 1.101 6.646
P 0.000 0.000 4.785
N 0.000 2.203 8.098
N 1.908 1.101 1.472
```



(2)
The following is a PBE calculation of crystalline Pu3PN6 at its relaxed geometry, from OQMD.

Results
uncorrected energy	-10.835	eV/atom
M_tot	11.0	μB per formula unit

Structure (extended XYZ):
```
20
Lattice="4.408 -5.562 0.000 4.408 5.562 0.000 0.000 0.000 5.242" Properties=species:S:1:pos:R:3 pbc="T T T"
Pu 4.408 4.380 2.621
Pu 2.691 1.200 2.480
Pu 2.691 -1.200 5.101
Pu 6.124 1.200 2.480
Pu 6.124 -1.200 5.101
Pu 4.408 -4.380 0.000
P 4.408 2.139 4.834
P 4.408 -2.139 2.213
N 3.116 2.881 4.085
N 1.385 0.133 3.835
N 1.385 -0.133 1.214
N 4.408 2.318 1.234
N 5.699 2.881 4.085
N 4.408 0.596 4.243
N 4.408 -0.596 1.622
N 3.116 -2.881 1.464
N 4.408 -2.318 3.855
N 7.430 0.133 3.835
N 7.430 -0.133 1.214
N 5.699 -2.881 1.464
```



(3)
The following is a PBE calculation of crystalline Pu3PN5 at its relaxed geometry, from OQMD.

Results
uncorrected energy	-11.069	eV/atom
M_tot	14.0	μB per formula unit

Structure (extended XYZ):
```
18
Lattice="-3.248 3.248 5.282 3.248 -3.248 5.282 3.248 3.248 -5.282" Properties=species:S:1:pos:R:3 pbc="T T T"
Pu 4.413 1.165 0.000
Pu 0.000 0.000 2.641
Pu 1.165 2.083 0.000
Pu 2.083 1.165 5.282
Pu 0.000 0.000 7.923
Pu -1.165 2.083 5.282
P 3.248 0.000 2.641
P 0.000 3.248 2.641
N 0.000 0.000 0.000
N 4.153 -0.905 1.602
N 2.342 -0.905 3.680
N 2.342 0.905 1.602
N 4.153 0.905 3.680
N 0.000 0.000 5.282
N -0.905 2.342 1.602
N 0.905 2.342 3.680
N 0.905 4.153 1.602
N -0.905 4.153 3.680
```



(4)
The following is a PBE calculation of crystalline Ta4PSN2 at its relaxed geometry, from OQMD.

Results
uncorrected energy	-9.923	eV/atom
M_tot	0.0	μB per formula unit

Structure (extended XYZ):
```
8
Lattice="3.129 0.000 0.000 -1.565 2.710 0.000 0.000 0.000 12.311" Properties=species:S:1:pos:R:3 pbc="T T T"
Ta 0.000 0.000 1.743
Ta 0.000 0.000 10.569
Ta 1.565 0.903 4.380
Ta 1.565 0.903 7.932
P 1.565 0.903 0.000
S 0.000 0.000 6.156
N 0.000 1.807 3.078
N 0.000 1.807 9.234
```



(5)
The following is a PBE calculation of crystalline Ta4PSN2 at its relaxed geometry, from OQMD.

Results
uncorrected energy	-9.923	eV/atom
M_tot	0.0	μB per formula unit

Structure (extended XYZ):
```
8
Lattice="3.129 0.000 0.000 -1.565 2.710 0.000 0.000 0.000 12.311" Properties=species:S:1:pos:R:3 pbc="T T T"
Ta 0.000 0.000 1.743
Ta 0.000 0.000 10.569
Ta 0.000 1.807 4.380
Ta 0.000 1.807 7.932
P 0.000 1.807 0.000
S 0.000 0.000 6.156
N 1.565 0.903 3.078
N 1.565 0.903 9.234
```



(6)
The following is a PBE calculation of crystalline Zr4PSN2 at its relaxed geometry, from OQMD.

Results
uncorrected energy	-9.082	eV/atom
M_tot	0.0	μB per formula unit

Structure (extended XYZ):
```
8
Lattice="3.409 0.000 0.000 -1.705 2.953 0.000 0.000 0.000 12.036" Properties=species:S:1:pos:R:3 pbc="T T T"
Zr 0.000 0.000 1.790
Zr 0.000 0.000 10.246
Zr 1.705 0.984 4.210
Zr 1.705 0.984 7.826
P 1.705 0.984 0.000
S 0.000 0.000 6.018
N 0.000 1.968 3.010
N 0.000 1.968 9.025
```



(7)
The following is a PBE calculation of crystalline Zr4PSN2 at its relaxed geometry, from OQMD.

Results
uncorrected energy	-9.082	eV/atom
M_tot	0.0	μB per formula unit

Structure (extended XYZ):
```
8
Lattice="3.409 0.000 0.000 -1.705 2.953 0.000 0.000 0.000 12.036" Properties=species:S:1:pos:R:3 pbc="T T T"
Zr 0.000 0.000 1.790
Zr 0.000 0.000 10.246
Zr 0.000 1.968 4.210
Zr 0.000 1.968 7.826
P 0.000 1.968 0.000
S 0.000 0.000 6.018
N 1.705 0.984 3.010
N 1.705 0.984 9.025
```



(8)
The following is a PBE calculation of crystalline SbPW4N2 at its relaxed geometry, from OQMD.

Results
uncorrected energy	-9.429	eV/atom
M_tot	0.0	μB per formula unit

Structure (extended XYZ):
```
8
Lattice="3.053 0.000 0.000 -1.527 2.644 0.000 0.000 0.000 13.274" Properties=species:S:1:pos:R:3 pbc="T T T"
Sb 0.000 0.000 0.000
P 1.527 0.881 6.637
W 0.000 0.000 4.903
W 0.000 0.000 8.371
W 1.527 0.881 2.249
W 1.527 0.881 11.025
N 0.000 1.763 3.525
N 0.000 1.763 9.749
```



(9)
The following is a PBE calculation of crystalline Zr4SbPN2 at its relaxed geometry, from OQMD.

Results
uncorrected energy	-8.827	eV/atom
M_tot	0.0	μB per formula unit

Structure (extended XYZ):
```
8
Lattice="3.436 0.000 0.000 -1.718 2.976 0.000 0.000 0.000 12.815" Properties=species:S:1:pos:R:3 pbc="T T T"
Zr 0.000 0.000 1.778
Zr 0.000 0.000 11.037
Zr 0.000 1.984 4.193
Zr 0.000 1.984 8.622
Sb 0.000 0.000 6.407
P 0.000 1.984 0.000
N 1.718 0.992 3.005
N 1.718 0.992 9.810
```



(10)
The following is a PBE calculation of crystalline Zr4SbPN2 at its relaxed geometry, from OQMD.

Results
uncorrected energy	-8.827	eV/atom
M_tot	0.0	μB per formula unit

Structure (extended XYZ):
```
8
Lattice="3.436 0.000 0.000 -1.718 2.976 0.000 0.000 0.000 12.815" Properties=species:S:1:pos:R:3 pbc="T T T"
Zr 0.000 0.000 1.778
Zr 0.000 0.000 11.037
Zr 1.718 0.992 4.193
Zr 1.718 0.992 8.622
Sb 0.000 0.000 6.407
P 1.718 0.992 0.000
N 0.000 1.984 3.005
N 0.000 1.984 9.810
```



(11)
The following is a PBE calculation of crystalline Sc4Ta2P3N3 at its relaxed geometry, from OQMD.

Results
uncorrected energy	-8.852	eV/atom
M_tot	0.0	μB per formula unit

Structure (extended XYZ):
```
24
Lattice="4.947 -2.873 0.000 4.947 2.873 0.000 -3.305 0.000 11.811" Properties=species:S:1:pos:R:3 pbc="T T T"
Sc 0.825 0.460 1.229
Sc 0.800 0.491 4.678
Sc -0.828 -0.460 7.135
Sc -0.853 -0.491 10.583
Sc 7.441 0.491 1.228
Sc 7.416 0.460 4.677
Sc 5.788 -0.491 7.134
Sc 5.763 -0.460 10.582
Ta 4.119 0.483 1.149
Ta 4.122 0.483 4.756
Ta 2.466 -0.483 7.055
Ta 2.469 -0.483 10.662
P 4.120 2.310 2.953
P 0.883 0.442 8.868
P 2.536 -0.442 2.962
P 4.053 0.442 8.849
P 5.705 -0.442 2.943
P 2.468 -2.310 8.859
N 2.473 1.436 0.000
N 2.482 1.415 5.907
N 2.454 1.415 11.810
N 0.821 -1.436 5.906
N 4.134 -1.415 0.002
N 4.107 -1.415 5.904
```



(12)
The following is a PBE calculation of crystalline Sc4P3W2N3 at its relaxed geometry, from OQMD.

Results
uncorrected energy	-8.839	eV/atom
M_tot	0.0	μB per formula unit

Structure (extended XYZ):
```
24
Lattice="4.916 -2.864 0.000 4.916 2.864 0.000 -3.253 0.000 11.626" Properties=species:S:1:pos:R:3 pbc="T T T"
Sc 0.826 0.476 1.229
Sc 0.826 0.471 4.585
Sc -0.801 -0.476 7.042
Sc -0.800 -0.471 10.398
Sc 7.379 0.471 1.228
Sc 7.380 0.476 4.583
Sc 5.753 -0.471 7.041
Sc 5.754 -0.476 10.396
P 4.103 2.192 2.906
P 1.006 0.392 8.720
P 2.632 -0.392 2.907
P 3.947 0.392 8.719
P 5.573 -0.392 2.906
P 2.476 -2.192 8.719
W 4.140 0.454 1.027
W 4.066 0.454 4.786
W 2.514 -0.454 6.840
W 2.439 -0.454 10.599
N 2.458 1.432 0.000
N 2.443 1.478 5.808
N 5.762 1.478 0.004
N 0.832 -1.432 5.813
N 0.817 -1.478 11.621
N 4.136 -1.478 5.817
```



(13)
The following is a PBE calculation of crystalline Sc4ZnPN2 at its relaxed geometry, from OQMD.

Results
uncorrected energy	-7.330	eV/atom
M_tot	0.0	μB per formula unit

Structure (extended XYZ):
```
8
Lattice="3.274 0.000 0.000 -1.637 2.835 0.000 0.000 0.000 13.144" Properties=species:S:1:pos:R:3 pbc="T T T"
Sc 0.000 0.000 1.834
Sc 0.000 0.000 11.310
Sc 1.637 0.945 4.316
Sc 1.637 0.945 8.828
Zn 0.000 0.000 6.572
P 1.637 0.945 0.000
N 0.000 1.890 3.078
N 0.000 1.890 10.066
```



(14)
The following is a PBE calculation of crystalline Sc4ZnPN2 at its relaxed geometry, from OQMD.

Results
uncorrected energy	-7.330	eV/atom
M_tot	0.0	μB per formula unit

Structure (extended XYZ):
```
8
Lattice="3.274 0.000 0.000 -1.637 2.836 0.000 0.000 0.000 13.146" Properties=species:S:1:pos:R:3 pbc="T T T"
Sc 0.000 0.000 1.834
Sc 0.000 0.000 11.313
Sc 0.000 1.890 4.315
Sc 0.000 1.890 8.831
Zn 0.000 0.000 6.573
P 0.000 1.890 0.000
N 1.637 0.945 3.077
N 1.637 0.945 10.069
```



(15)
The following is a PBE calculation of crystalline Zn2Si2PN3 at its relaxed geometry, from OQMD.

Results
uncorrected energy	-5.974	eV/atom

Structure (extended XYZ):
```
16
Lattice="9.712 0.000 0.000 0.000 4.675 0.000 -2.157 0.000 4.336" Properties=species:S:1:pos:R:3 pbc="T T T"
Zn 0.555 0.000 1.553
Zn 2.145 2.338 2.784
Zn 5.411 2.338 1.553
Zn 7.001 0.000 2.784
Si -0.631 2.069 3.953
Si 3.330 4.407 0.384
Si 4.225 4.407 3.953
Si 8.187 2.069 0.384
P -1.078 3.235 2.168
P 3.778 0.897 2.168
N 0.000 1.261 0.000
N 2.023 3.298 0.794
N 0.677 0.960 3.542
N 4.856 3.599 0.000
N 6.879 0.960 0.794
N 5.533 3.298 3.542
```



(16)
The following is a PBE calculation of crystalline ZnSiPN at its relaxed geometry, from OQMD.

Results
uncorrected energy	-5.441	eV/atom

Structure (extended XYZ):
```
16
Lattice="4.901 0.000 0.000 0.000 5.142 0.000 0.000 0.000 9.248" Properties=species:S:1:pos:R:3 pbc="T T T"
Zn 0.000 1.285 0.959
Zn 0.000 3.856 3.665
Zn 2.450 1.285 8.289
Zn 2.450 3.856 5.583
Si 0.000 1.285 5.528
Si 0.000 3.856 8.345
Si 2.450 1.285 3.720
Si 2.450 3.856 0.904
P 1.110 2.571 6.936
P 1.340 2.571 2.312
P 3.561 0.000 2.312
P 3.790 0.000 6.936
N 1.225 0.364 4.624
N 1.225 4.777 0.000
N 3.676 2.206 4.624
N 3.676 2.935 0.000
```



(17)
The following is a PBE calculation of crystalline Zn2Si2P3N at its relaxed geometry, from OQMD.

Results
uncorrected energy	-5.066	eV/atom

Structure (extended XYZ):
```
16
Lattice="10.997 0.000 0.000 0.000 5.240 0.000 -2.297 0.000 4.627" Properties=species:S:1:pos:R:3 pbc="T T T"
Zn 0.494 0.000 1.569
Zn 2.708 2.620 3.058
Zn 5.992 2.620 1.569
Zn 8.206 0.000 3.058
Si -0.830 2.944 4.140
Si 4.031 0.324 0.487
Si 4.669 0.324 4.140
Si 9.530 2.944 0.487
P -1.149 1.643 2.314
P 2.215 1.491 1.063
P 0.987 4.111 3.564
P 4.350 4.263 2.314
P 7.713 4.111 1.063
P 6.485 1.491 3.564
N 0.000 3.838 0.000
N 5.499 1.218 0.000
```



(18)
The following is a PBE calculation of crystalline ZnSiPN at its relaxed geometry, from OQMD.

Results
uncorrected energy	-5.494	eV/atom

Structure (extended XYZ):
```
16
Lattice="6.984 0.000 0.000 0.000 7.039 0.000 -3.217 0.000 4.644" Properties=species:S:1:pos:R:3 pbc="T T T"
Zn 0.000 1.077 0.000
Zn -1.609 5.962 2.322
Zn 1.884 2.442 2.322
Zn 3.492 4.596 0.000
Si 3.078 0.681 0.014
Si 1.469 6.358 2.336
Si 4.961 2.838 2.336
Si 6.570 4.200 0.014
P -0.127 2.568 3.493
P 1.482 4.471 1.171
P 4.974 0.951 1.171
P 3.365 6.088 3.493
N 1.725 0.656 1.174
N 0.117 6.383 3.496
N 3.609 2.864 3.496
N 5.218 4.175 1.174
```



(19)
The following is a PBE calculation of crystalline Zr4SiPN2 at its relaxed geometry, from OQMD.

Results
uncorrected energy	-8.996	eV/atom
M_tot	0.0	μB per formula unit

Structure (extended XYZ):
```
8
Lattice="3.347 0.000 0.000 -1.674 2.899 0.000 0.000 0.000 12.740" Properties=species:S:1:pos:R:3 pbc="T T T"
Zr 0.000 0.000 1.810
Zr 0.000 0.000 10.930
Zr 1.674 0.966 4.317
Zr 1.674 0.966 8.423
Si 0.000 0.000 6.370
P 1.674 0.966 0.000
N 0.000 1.933 3.084
N 0.000 1.933 9.656
```



(20)
The following is a PBE calculation of crystalline Sm3P2N at its relaxed geometry, from OQMD.

Results
uncorrected energy	-6.975	eV/atom
M_tot	0.0	μB per formula unit

Structure (extended XYZ):
```
6
Lattice="3.898 0.000 0.000 -1.949 3.376 0.000 0.000 0.000 9.761" Properties=species:S:1:pos:R:3 pbc="T T T"
Sm 0.000 0.000 0.000
Sm 0.000 2.251 6.263
Sm 1.949 1.125 3.498
P 0.000 2.251 1.741
P 1.949 1.125 8.020
N 0.000 0.000 4.881
```